1.
The following is a DFT calculation (PBE) of MgBe after structural relaxation.

Computed properties:
Its offset from the most stable computed form is 0.274 eV/atom. The calculation puts the formation energy from the elements at 47 kJ/mol of atoms. Its space-group type is No. 187.

a = 2.9074 Å, b = 2.9074 Å, c = 4.1788 Å
α = 90.00°, β = 90.00°, γ = 120.00°
Sites, in units of the cell vectors:
1 Mg 0.0000 0.0000 0.0000
2 Be 0.6667 0.3333 0.5000

2.
The following is a DFT calculation (PBE) of PuPaCuSi after structural relaxation.

Computed properties:
Its space-group type is No. 156. The uncorrected formation energy is 0.031 eV/atom.

a = 4.6528 Å, b = 4.6528 Å, c = 4.6910 Å
α = 90.00°, β = 90.00°, γ = 120.00°
Sites, in units of the cell vectors:
1 Pu 0.0000 0.0000 0.0000
2 Pa 0.3333 0.6667 0.5064
3 Cu 0.6667 0.3333 0.2545
4 Si 0.6667 0.3333 0.7562

3.
The following is a DFT calculation (PBE) of RbAsBr2 after structural relaxation.

Computed properties:
Its offset from the most stable computed form is 0.000 eV/atom. Its space-group type is No. 122. The uncorrected formation energy is -0.516 eV/atom.

a = 9.5977 Å, b = 9.5977 Å, c = 9.5977 Å
α = 141.75°, β = 141.75°, γ = 55.21°
Sites, in units of the cell vectors:
1 Rb 0.0000 0.0000 0.0000
2 Rb 0.7500 0.2500 0.5000
3 As 0.2500 0.7500 0.5000
4 As 0.5000 0.5000 0.0000
5 Br 0.2320 0.6250 0.1070
6 Br 0.3750 0.4820 0.6070
7 Br 0.5180 0.1250 0.8930
8 Br 0.8750 0.7680 0.3930

4.
The following is a DFT calculation (PBE) of Nd3ZnIr2 after structural relaxation.

Computed properties:
The calculation puts the formation energy from the elements at -55 kJ/mol of atoms. Its space-group type is No. 62.

a = 11.9940 Å, b = 4.1231 Å, c = 11.9130 Å
α = 90.00°, β = 90.00°, γ = 90.00°
Sites, in units of the cell vectors:
1 Nd 0.0545 0.2500 0.1240
2 Nd 0.1281 0.7500 0.5722
3 Nd 0.1992 0.2500 0.8208
4 Nd 0.3008 0.7500 0.3208
5 Nd 0.3719 0.2500 0.0722
6 Nd 0.4455 0.7500 0.6240
7 Nd 0.5545 0.2500 0.3760
8 Nd 0.6281 0.7500 0.9278
9 Nd 0.6992 0.2500 0.6792
10 Nd 0.8008 0.7500 0.1792
11 Nd 0.8719 0.2500 0.4278
12 Nd 0.9455 0.7500 0.8760
13 Zn 0.1239 0.2500 0.3780
14 Zn 0.3761 0.7500 0.8780
15 Zn 0.6239 0.2500 0.1220
16 Zn 0.8761 0.7500 0.6220
17 Ir 0.0130 0.7500 0.3125
18 Ir 0.1842 0.7500 0.9899
19 Ir 0.3158 0.2500 0.4899
20 Ir 0.4870 0.2500 0.8125
21 Ir 0.5130 0.7500 0.1875
22 Ir 0.6842 0.7500 0.5101
23 Ir 0.8158 0.2500 0.0101
24 Ir 0.9870 0.2500 0.6875

5.
The following is a DFT calculation (PBE) of LaNd2PO8 after structural relaxation.

Computed properties:
Its space-group type is No. 164. The uncorrected formation energy is -2.461 eV/atom.

a = 5.2176 Å, b = 5.2176 Å, c = 6.6029 Å
α = 90.00°, β = 90.00°, γ = 120.00°
Sites, in units of the cell vectors:
1 La 0.0000 0.0000 0.0000
2 Nd 0.3333 0.6667 0.3642
3 Nd 0.6667 0.3333 0.6358
4 P 0.0000 0.0000 0.5000
5 O 0.1530 0.3059 0.6528
6 O 0.1530 0.8470 0.6528
7 O 0.3059 0.1530 0.3472
8 O 0.3333 0.6667 0.0355
9 O 0.6667 0.3333 0.9645
10 O 0.6941 0.8470 0.6528
11 O 0.8470 0.1530 0.3472
12 O 0.8470 0.6941 0.3472

6.
The following is a DFT calculation (PBE) of TcBiIr2 after structural relaxation.

Computed properties:
The calculation puts the formation energy from the elements at 77 kJ/mol of atoms. Its space-group type is No. 122.

a = 6.9976 Å, b = 6.9976 Å, c = 6.9976 Å
α = 129.35°, β = 129.35°, γ = 74.45°
Sites, in units of the cell vectors:
1 Tc 0.0000 0.0000 0.0000
2 Tc 0.7500 0.2500 0.5000
3 Bi 0.2500 0.7500 0.5000
4 Bi 0.5000 0.5000 0.0000
5 Ir 0.0815 0.6250 0.9565
6 Ir 0.3750 0.3315 0.4565
7 Ir 0.6685 0.1250 0.0435
8 Ir 0.8750 0.9185 0.5435

Number 1: magnetic moment 0.00 μB per cell. Number 2: magnetic moment 6.97 μB per cell. Number 3: magnetic moment 0.00 μB per cell. Number 4: magnetic moment 0.00 μB per cell. Number 5: magnetic moment 2.02 μB per cell. Number 6: magnetic moment 0.00 μB per cell.